# NaTaBRu2 GGA-PBE optimized geometry
# N(E_F) = 4.07 states/eV per cell
# Total moment = 0.000 μB/atom
# Energy of formation = 419 meV/atom
data_NaTaBRu2
_chemical_formula_sum 'Na1 Ta1 B1 Ru2'
_cell_length_a 4.182
_cell_length_b 4.320
_cell_length_c 4.182
_cell_angle_alpha 90.00
_cell_angle_beta 90.00
_cell_angle_gamma 90.00
_space_group_name_H-M_alt 'P 1'
_space_group_IT_number 1
loop_
_space_group_symop_operation_xyz
'x,y,z'
loop_
_atom_site_label
_atom_site_type_symbol
_atom_site_fract_x
_atom_site_fract_y
_atom_site_fract_z
_atom_site_occupancy
Ru1 Ru 0.500 0.000 0.000 1
Na1 Na 0.500 0.500 0.500 1
B1 B 0.000 0.000 0.000 1
Ru2 Ru 0.000 0.000 0.500 1
Ta1 Ta 0.000 0.500 0.000 1

# NaBS2 GGA-PBE optimized geometry
# N(E_F) = 0.00 states/eV per cell
# Total moment = 0.000 μB/atom
# Formation energy from raw total energies = -0.67 eV per atom
data_NaBS2
_chemical_formula_sum 'Na4 B4 S8'
_cell_length_a 5.640
_cell_length_b 5.603
_cell_length_c 8.568
_cell_angle_alpha 90.00
_cell_angle_beta 90.00
_cell_angle_gamma 90.00
_space_group_name_H-M_alt 'P 1'
_space_group_IT_number 1
loop_
_space_group_symop_operation_xyz
'x,y,z'
loop_
_atom_site_label
_atom_site_type_symbol
_atom_site_fract_x
_atom_site_fract_y
_atom_site_fract_z
_atom_site_occupancy
B1 B 0.014 0.540 0.875 1
S1 S 0.936 0.873 0.816 1
B2 B 0.014 0.040 0.625 1
Na1 Na 0.969 0.505 0.379 1
S2 S 0.436 0.127 0.184 1
S3 S 0.854 0.492 0.075 1
S4 S 0.436 0.627 0.316 1
S5 S 0.354 0.508 0.925 1
B3 B 0.514 0.460 0.125 1
S6 S 0.854 0.992 0.425 1
B4 B 0.514 0.960 0.375 1
S7 S 0.936 0.373 0.684 1
Na2 Na 0.469 0.995 0.879 1
Na3 Na 0.469 0.495 0.621 1
Na4 Na 0.969 0.005 0.121 1
S8 S 0.354 0.008 0.575 1

# Na2BS GGA-PBE optimized geometry
# N(E_F) = 0.04 states/eV per cell
# Total moment = 0.250 μB/atom
# Formation energy from raw total energies = 0.63 eV per atom
# Energy above the lowest structure with this stoichiometry = 150 meV/atom
data_Na2BS
_chemical_formula_sum 'Na4 B2 S2'
_cell_length_a 4.403
_cell_length_b 4.403
_cell_length_c 9.312
_cell_angle_alpha 76.32
_cell_angle_beta 76.32
_cell_angle_gamma 90.00
_space_group_name_H-M_alt 'P 1'
_space_group_IT_number 1
loop_
_space_group_symop_operation_xyz
'x,y,z'
loop_
_atom_site_label
_atom_site_type_symbol
_atom_site_fract_x
_atom_site_fract_y
_atom_site_fract_z
_atom_site_occupancy
S1 S 0.750 0.250 0.500 1
S2 S 0.000 0.000 0.000 1
B1 B 0.250 0.750 0.500 1
Na1 Na 0.124 0.625 0.250 1
Na2 Na 0.875 0.876 0.750 1
Na3 Na 0.626 0.125 0.250 1
B2 B 0.500 0.500 0.000 1
Na4 Na 0.375 0.374 0.750 1

# Na2BS2 GGA-PBE optimized geometry
# N(E_F) = 2.45 states/eV per cell
# Total moment = 0.119 μB/atom
# Formation energy from raw total energies = -0.53 eV per atom
data_Na2BS2
_chemical_formula_sum 'Na4 B2 S4'
_cell_length_a 5.649
_cell_length_b 6.622
_cell_length_c 7.234
_cell_angle_alpha 69.78
_cell_angle_beta 67.02
_cell_angle_gamma 64.75
_space_group_name_H-M_alt 'P 1'
_space_group_IT_number 1
loop_
_space_group_symop_operation_xyz
'x,y,z'
loop_
_atom_site_label
_atom_site_type_symbol
_atom_site_fract_x
_atom_site_fract_y
_atom_site_fract_z
_atom_site_occupancy
Na1 Na 0.956 0.289 0.800 1
S1 S 0.802 0.757 0.638 1
Na2 Na 0.292 0.791 0.625 1
Na3 Na 0.708 0.209 0.375 1
B1 B 0.376 0.099 0.148 1
B2 B 0.624 0.901 0.852 1
S2 S 0.198 0.243 0.362 1
S3 S 0.537 0.789 0.137 1
S4 S 0.463 0.211 0.863 1
Na4 Na 0.044 0.711 0.200 1

# Na3B5S9 GGA-PBE optimized geometry
# N(E_F) = 0.00 states/eV per cell
# Total moment = 0.000 μB/atom
# Formation energy from raw total energies = -0.72 eV per atom
data_Na3B5S9
_chemical_formula_sum 'Na24 B40 S72'
_cell_length_a 16.709
_cell_length_b 16.709
_cell_length_c 16.709
_cell_angle_alpha 128.41
_cell_angle_beta 128.41
_cell_angle_gamma 75.96
_space_group_name_H-M_alt 'P 1'
_space_group_IT_number 1
loop_
_space_group_symop_operation_xyz
'x,y,z'
loop_
_atom_site_label
_atom_site_type_symbol
_atom_site_fract_x
_atom_site_fract_y
_atom_site_fract_z
_atom_site_occupancy
S1 S 0.625 0.679 0.554 1
B1 B 0.975 0.849 0.825 1
S2 S 0.825 0.152 0.895 1
S3 S 0.220 0.494 0.797 1
B2 B 0.961 0.251 0.046 1
B3 B 0.249 0.539 0.954 1
Na1 Na 0.712 0.375 0.837 1
B4 B 0.545 0.335 0.546 1
S4 S 0.402 0.575 0.395 1
S5 S 0.757 0.652 0.327 1
S6 S 0.348 0.675 0.105 1
Na2 Na 0.212 0.375 0.337 1
S7 S 0.522 0.547 0.155 1
B5 B 0.275 0.599 0.374 1
S8 S 0.297 0.642 0.525 1
B6 B 0.475 0.651 0.126 1
Na3 Na 0.875 0.625 0.250 1
B7 B 0.165 0.955 0.454 1
S9 S 0.744 0.970 0.297 1
S10 S 0.633 0.478 0.025 1
B8 B 0.001 0.455 0.790 1
S11 S 0.955 0.934 0.145 1
S12 S 0.848 0.743 0.673 1
S13 S 0.728 0.383 0.525 1
S14 S 0.392 0.367 0.845 1
S15 S 0.625 0.179 0.054 1
B9 B 0.085 0.039 0.290 1
B10 B 0.599 0.275 0.374 1
B11 B 0.205 0.915 0.954 1
B12 B 0.099 0.725 0.325 1
S16 S 0.077 0.803 0.797 1
S17 S 0.720 0.923 0.726 1
Na4 Na 0.375 0.125 0.750 1
Na5 Na 0.538 0.875 0.163 1
S18 S 0.117 0.772 0.475 1
S19 S 0.929 0.375 0.054 1
B13 B 0.045 0.499 0.210 1
B14 B 0.025 0.151 0.175 1
S20 S 0.461 0.816 0.520 1
B15 B 0.749 0.795 0.710 1
B16 B 0.915 0.915 0.000 1
Na6 Na 0.375 0.625 0.750 1
S21 S 0.506 0.303 0.726 1
Na7 Na 0.038 0.875 0.663 1
S22 S 0.789 0.810 0.855 1
Na8 Na 0.125 0.788 0.163 1
B17 B 0.585 0.585 0.000 1
S23 S 0.797 0.272 0.655 1
S24 S 0.697 0.423 0.203 1
B18 B 0.789 0.999 0.454 1
B19 B 0.349 0.475 0.825 1
S25 S 0.179 0.007 0.605 1
Na9 Na 0.625 0.962 0.837 1
S26 S 0.858 0.203 0.475 1
S27 S 0.530 0.756 0.703 1
B20 B 0.705 0.751 0.290 1
Na10 Na 0.625 0.462 0.337 1
Na11 Na 0.796 0.296 0.092 1
S28 S 0.244 0.947 0.774 1
S29 S 0.358 0.883 0.655 1
Na12 Na 0.954 0.954 0.408 1
S30 S 0.066 0.211 0.020 1
B21 B 0.085 0.085 0.000 1
S31 S 0.571 0.243 0.895 1
Na13 Na 0.204 0.704 0.908 1
S32 S 0.184 0.705 0.645 1
S33 S 0.197 0.994 0.274 1
S34 S 0.321 0.875 0.946 1
B22 B 0.225 0.901 0.626 1
S35 S 0.133 0.108 0.155 1
S36 S 0.429 0.375 0.554 1
S37 S 0.993 0.598 0.173 1
S38 S 0.325 0.429 0.673 1
S39 S 0.690 0.711 0.145 1
S40 S 0.553 0.256 0.226 1
Na14 Na 0.296 0.204 0.500 1
S41 S 0.289 0.434 0.980 1
Na15 Na 0.125 0.288 0.663 1
Na16 Na 0.875 0.625 0.750 1
B23 B 0.165 0.665 0.500 1
Na17 Na 0.454 0.046 0.000 1
Na18 Na 0.704 0.796 0.500 1
B24 B 0.835 0.335 0.500 1
Na19 Na 0.375 0.625 0.250 1
S42 S 0.060 0.539 0.355 1
B25 B 0.665 0.165 0.500 1
S43 S 0.022 0.867 0.975 1
S44 S 0.953 0.978 0.845 1
S45 S 0.684 0.039 0.480 1
B26 B 0.461 0.415 0.710 1
S46 S 0.795 0.316 0.355 1
S47 S 0.125 0.571 0.946 1
S48 S 0.821 0.875 0.446 1
B27 B 0.335 0.835 0.500 1
S49 S 0.455 0.310 0.020 1
S50 S 0.617 0.142 0.345 1
S51 S 0.257 0.929 0.105 1
B28 B 0.849 0.025 0.874 1
B29 B 0.725 0.099 0.325 1
S52 S 0.961 0.440 0.645 1
S53 S 0.173 0.470 0.226 1
S54 S 0.925 0.098 0.605 1
B30 B 0.901 0.225 0.626 1
S55 S 0.030 0.327 0.774 1
S56 S 0.577 0.780 0.274 1
S57 S 0.295 0.940 0.480 1
S58 S 0.071 0.175 0.327 1
Na20 Na 0.875 0.125 0.750 1
B31 B 0.151 0.975 0.126 1
S59 S 0.560 0.205 0.520 1
S60 S 0.902 0.507 0.827 1
S61 S 0.679 0.075 0.173 1
S62 S 0.125 0.071 0.446 1
Na21 Na 0.046 0.454 0.000 1
S63 S 0.228 0.703 0.345 1
B32 B 0.525 0.349 0.874 1
B33 B 0.775 0.401 0.675 1
S64 S 0.053 0.827 0.297 1
S65 S 0.453 0.608 0.975 1
B34 B 0.415 0.415 0.000 1
B35 B 0.289 0.835 0.790 1
B36 B 0.585 0.295 0.046 1
Na22 Na 0.546 0.546 0.592 1
Na23 Na 0.875 0.125 0.250 1
B37 B 0.401 0.775 0.675 1
S66 S 0.006 0.280 0.203 1
S67 S 0.566 0.545 0.855 1
Na24 Na 0.375 0.125 0.250 1
S68 S 0.425 0.821 0.827 1
B38 B 0.501 0.711 0.546 1
S69 S 0.673 0.447 0.703 1
S70 S 0.892 0.047 0.025 1
B39 B 0.651 0.525 0.175 1
B40 B 0.665 0.211 0.210 1
S71 S 0.190 0.045 0.980 1
S72 S 0.493 0.321 0.395 1

# NaB3S GGA-PBE optimized geometry
# N(E_F) = 1.20 states/eV per cell
# Total moment = 0.000 μB/atom
# Formation energy from raw total energies = 2.92 eV per atom
# Energy above the lowest structure with this stoichiometry = 1236 meV/atom
data_NaB3S
_chemical_formula_sum 'Na1 B3 S1'
_cell_length_a 4.561
_cell_length_b 4.561
_cell_length_c 4.561
_cell_angle_alpha 90.00
_cell_angle_beta 90.00
_cell_angle_gamma 90.00
_space_group_name_H-M_alt 'P 1'
_space_group_IT_number 1
loop_
_space_group_symop_operation_xyz
'x,y,z'
loop_
_atom_site_label
_atom_site_type_symbol
_atom_site_fract_x
_atom_site_fract_y
_atom_site_fract_z
_atom_site_occupancy
S1 S 0.500 0.500 0.500 1
Na1 Na 0.000 0.000 0.000 1
B1 B 0.500 0.000 0.000 1
B2 B 0.000 0.500 0.000 1
B3 B 0.000 0.000 0.500 1

# NaB2S2 GGA-PBE optimized geometry
# N(E_F) = 1.39 states/eV per cell
# Total moment = 0.000 μB/atom
# Formation energy from raw total energies = 0.22 eV per atom
data_NaB2S2
_chemical_formula_sum 'Na2 B4 S4'
_cell_length_a 3.024
_cell_length_b 4.792
_cell_length_c 11.174
_cell_angle_alpha 102.38
_cell_angle_beta 97.78
_cell_angle_gamma 90.00
_space_group_name_H-M_alt 'P 1'
_space_group_IT_number 1
loop_
_space_group_symop_operation_xyz
'x,y,z'
loop_
_atom_site_label
_atom_site_type_symbol
_atom_site_fract_x
_atom_site_fract_y
_atom_site_fract_z
_atom_site_occupancy
S1 S 0.407 0.657 0.814 1
S2 S 0.905 0.155 0.810 1
Na1 Na 0.193 0.443 0.386 1
Na2 Na 0.807 0.557 0.614 1
B1 B 0.729 0.979 0.458 1
B2 B 0.649 0.899 0.298 1
B3 B 0.271 0.021 0.542 1
B4 B 0.351 0.101 0.702 1
S3 S 0.095 0.845 0.190 1
S4 S 0.593 0.343 0.186 1